(1)
Entry from the Alexandria database: Nd7Er12Pu after structural relaxation (GGA-PBE).

Cell lengths 8.691, 8.691, 8.691 Å; angles 89.65, 89.65, 89.65 degrees
Last column: magnetic moment on the atom in μB.
Fractional positions:
Nd 0.219 0.627 0.770  0.02
Nd 0.373 0.230 0.781  0.02
Nd 0.230 0.781 0.373  0.02
Nd 0.500 0.500 0.500  -0.07
Nd 0.770 0.219 0.627  0.02
Nd 0.627 0.770 0.219  0.02
Nd 0.781 0.373 0.230  0.02
Er 0.004 0.341 0.894  -0.09
Er 0.659 0.106 0.996  -0.09
Er 0.443 0.117 0.343  0.04
Er 0.883 0.657 0.557  0.04
Er 0.106 0.996 0.659  -0.09
Er 0.657 0.557 0.883  0.04
Er 0.343 0.443 0.117  0.04
Er 0.894 0.004 0.341  -0.09
Er 0.117 0.343 0.443  0.04
Er 0.557 0.883 0.657  0.04
Er 0.341 0.894 0.004  -0.09
Er 0.996 0.659 0.106  -0.09
Pu 0.000 0.000 0.000  -5.65

formation energy: 253 meV/atom
mass density: 8.25 g cm⁻³
symmetry: R-3 (148)
raw total energy: -97.4 eV per cell

=====

(2)
Entry from the Alexandria database: MgSBr3 after structural relaxation (GGA-PBE).

Cell lengths 5.216, 5.216, 5.216 Å; angles 90.00, 90.00, 90.00 degrees
Fractional positions:
S 0.000 0.000 0.000
Mg 0.500 0.500 0.500
Br 0.000 0.500 0.000
Br 0.000 0.000 0.500
Br 0.500 0.000 0.000

mass density: 3.46 g cm⁻³
formation energy (no corrections): 0.0354 eV/atom
symmetry: Pm-3m (221)
offset from the most stable computed form: 0.235 eV/atom
raw total energy: -10.6 eV per cell

=====

(3)
Entry from the Alexandria database: ZnIrBr after structural relaxation (GGA-PBE).

Cell lengths 6.384, 6.384, 6.384 Å; angles 152.06, 152.06, 39.92 degrees
Fractional positions:
Br 0.979 0.979 0.000
Ir 0.317 0.317 0.000
Zn 0.704 0.704 0.000

mass density: 9.83 g cm⁻³
formation energy (no corrections): 0.4677 eV/atom
symmetry: I4mm (107)
offset from the most stable computed form: 0.113 eV/atom
raw total energy: -10.4 eV per cell

=====

(4)
Entry from the Alexandria database: Re2PtBr after structural relaxation (GGA-PBE).

Cell lengths 6.062, 6.062, 6.062 Å; angles 153.35, 135.71, 52.44 degrees
Fractional positions:
Re 0.975 0.975 0.000
Re 0.780 0.280 0.500
Br 0.523 0.523 0.000
Pt 0.222 0.722 0.500

mass density: 15.48 g cm⁻³
formation energy (no corrections): 0.8175 eV/atom
symmetry: Imm2 (44)
offset from the most stable computed form: 0.436 eV/atom
raw total energy: -29.3 eV per cell

=====

(5)
Entry from the Alexandria database: Ho8Te4As3Pt after structural relaxation (GGA-PBE).

Cell lengths 8.401, 8.534, 8.402 Å; angles 119.49, 120.00, 90.00 degrees
Fractional positions:
Ho 0.235 0.716 0.981
Ho 0.235 0.716 0.471
Ho 0.261 0.282 0.521
Ho 0.746 0.716 0.981
Ho 0.254 0.284 0.019
Ho 0.739 0.718 0.479
Ho 0.765 0.284 0.529
Ho 0.765 0.284 0.019
Te 0.500 0.000 0.000
Te 0.500 0.000 0.500
Te 0.000 0.000 0.000
Te 0.000 0.000 0.500
As 0.500 0.500 0.000
As 0.500 0.500 0.500
As 0.000 0.500 0.500
Pt 0.000 0.500 0.000

mass density: 8.70 g cm⁻³
formation energy (no corrections): -1.4013 eV/atom
symmetry: R-3m (166)
raw total energy: -91.6 eV per cell

=====

(6)
Entry from the Alexandria database: Na3TbTm2S6 after structural relaxation (GGA-PBE).

Cell lengths 6.851, 6.851, 7.059 Å; angles 99.31, 99.31, 120.01 degrees
Fractional positions:
Na 0.166 0.834 0.500
Na 0.834 0.166 0.500
Na 0.500 0.500 0.500
Tb 0.000 0.000 0.000
Tm 0.333 0.667 0.000
Tm 0.667 0.333 0.000
S 0.925 0.587 0.775
S 0.737 0.737 0.225
S 0.075 0.413 0.225
S 0.587 0.925 0.775
S 0.263 0.263 0.775
S 0.413 0.075 0.225

mass density: 4.64 g cm⁻³
formation energy (no corrections): -1.8516 eV/atom
symmetry: C2/m (12)
raw total energy: -64.5 eV per cell